Record 1
Compound: Nd5Hg2
Source: Alexandria via LeMat-Bulk
Functional: PBE-GGA
Structure: optimized geometry

formation energy from the elements	-0.22	eV/atom
magnetic moment	0.00	μB/atom
total energy	-3.71	eV/atom

a b c (Å): 6.872 8.348 9.278
angles (deg): 116.74 111.74 90.00
Atoms (fractional coordinates):
Nd 0.420 0.087 0.840
Nd 0.020 0.270 0.539
Nd 0.520 0.270 0.539
Nd 0.750 0.500 0.000
Nd 0.580 0.913 0.160
Nd 0.250 0.500 0.000
Nd 0.480 0.730 0.461
Nd 0.920 0.754 0.840
Nd 0.080 0.246 0.160
Nd 0.980 0.730 0.461
Hg 0.871 0.092 0.743
Hg 0.129 0.908 0.257
Hg 0.371 0.651 0.743
Hg 0.629 0.349 0.257

---

Record 2
Compound: La8CoAg2
Source: Alexandria via LeMat-Bulk
Functional: PBE-GGA
Structure: optimized geometry

formation energy from the elements	-0.08	eV/atom
magnetic moment	0.00	μB/atom
total energy	-4.83	eV/atom

a b c (Å): 5.536 6.897 9.979
angles (deg): 113.17 106.10 90.00
Atoms (fractional coordinates):
La 0.793 0.677 0.587
La 0.663 0.999 0.325
La 0.207 0.323 0.413
La 0.414 0.580 0.828
La 0.337 0.001 0.675
La 0.019 0.811 0.038
La 0.981 0.189 0.962
La 0.586 0.420 0.172
Ag 0.838 0.286 0.675
Ag 0.162 0.714 0.325
Co 0.500 0.000 0.000

---

Record 3
Compound: LiLaPmGa
Source: Alexandria via LeMat-Bulk
Functional: PBE-GGA
Structure: optimized geometry

formation energy from the elements	-0.29	eV/atom
magnetic moment	0.00	μB/atom
total energy	-3.95	eV/atom

a b c (Å): 5.297 5.297 5.297
angles (deg): 60.00 60.00 60.00
Atoms (fractional coordinates):
Li 0.000 0.000 0.000
Ga 0.500 0.500 0.500
Pm 0.750 0.750 0.750
La 0.250 0.250 0.250

---

Record 4
Compound: Sr2MgMn
Source: Alexandria via LeMat-Bulk
Functional: PBE-GGA
Structure: optimized geometry

formation energy from the elements	0.59	eV/atom
magnetic moment	0.92	μB/atom
total energy	-2.94	eV/atom

a b c (Å): 8.994 8.994 7.270
angles (deg): 51.79 51.79 90.00
Each line ends with the local moment (μB).
Atoms (fractional coordinates):
Sr 0.875 0.899 0.750  -0.05
Sr 0.375 0.351 0.750  -0.05
Sr 0.101 0.625 0.250  -0.05
Sr 0.649 0.125 0.250  -0.05
Mg 0.500 0.500 0.000  -0.01
Mg 0.250 0.750 0.500  -0.01
Mn 0.000 0.000 0.000  3.96
Mn 0.750 0.250 0.500  3.97

---

Record 5
Compound: Na2Gd
Source: Alexandria via LeMat-Bulk
Functional: PBE-GGA
Structure: optimized geometry

formation energy from the elements	0.30	eV/atom
magnetic moment	2.83	μB/atom
total energy	-5.27	eV/atom

a b c (Å): 6.590 6.590 6.590
angles (deg): 60.00 60.00 60.00
Each line ends with the local moment (μB).
Atoms (fractional coordinates):
Na 0.625 0.625 0.125  0.01
Na 0.125 0.625 0.625  0.01
Na 0.625 0.625 0.625  0.01
Na 0.625 0.125 0.625  0.01
Gd 0.000 0.000 0.000  7.44
Gd 0.250 0.250 0.250  7.44

---

Record 6
Compound: WBrCl2
Source: Alexandria via LeMat-Bulk
Functional: PBE-GGA
Structure: optimized geometry

uncorrected formation energy	97	meV per atom
magnetic moment	0.00	μB/atom
total energy	-4.48	eV/atom

a b c (Å): 9.129 9.129 9.129
angles (deg): 20.44 20.44 20.44
Atoms (fractional coordinates):
Cl 0.230 0.230 0.230
Cl 0.002 0.002 0.002
Br 0.767 0.767 0.767
W 0.501 0.501 0.501

---

Record 7
Compound: Pu2VCoN5
Source: Alexandria via LeMat-Bulk
Functional: PBE-GGA
Structure: optimized geometry

uncorrected formation energy	-757	meV per atom
magnetic moment	0.04	μB/atom
total energy	-10.37	eV/atom

a b c (Å): 3.152 6.454 9.841
angles (deg): 90.00 90.00 104.13
Each line ends with the local moment (μB).
Atoms (fractional coordinates):
N 0.323 0.646 0.375  0.01
N 0.283 0.565 0.653  0.03
N 0.634 0.269 0.496  0.00
N 0.677 0.354 0.875  0.01
N 0.486 0.972 0.774  -0.01
N 0.717 0.435 0.153  0.03
N 0.366 0.731 0.996  0.00
N 0.514 0.028 0.274  -0.01
N 0.055 0.110 0.065  -0.04
N 0.945 0.890 0.565  -0.04
Pu 0.103 0.205 0.682  4.00
Pu 0.897 0.795 0.182  4.00
Pu 0.149 0.298 0.308  -3.95
Pu 0.851 0.702 0.808  -3.95
Co 0.528 0.055 0.956  -0.22
Co 0.472 0.945 0.456  -0.22
V 0.201 0.402 0.015  -0.17
V 0.799 0.598 0.515  -0.17

---

Record 8
Compound: TlMo2Rh
Source: Alexandria via LeMat-Bulk
Functional: PBE-GGA
Structure: optimized geometry

formation energy from the elements	0.71	eV/atom
magnetic moment	0.00	μB/atom
total energy	-7.13	eV/atom

a b c (Å): 3.781 3.781 10.443
angles (deg): 79.57 79.57 90.00
Atoms (fractional coordinates):
Rh 0.500 0.500 0.000
Rh 0.250 0.750 0.500
Tl 0.750 0.250 0.500
Tl 0.000 0.000 0.000
Mo 0.875 0.874 0.750
Mo 0.624 0.125 0.250
Mo 0.375 0.376 0.750
Mo 0.126 0.625 0.250

---

Record 9
Compound: MgScAg4
Source: Alexandria via LeMat-Bulk
Functional: PBE-GGA
Structure: optimized geometry

formation energy from the elements	-0.21	eV/atom
magnetic moment	0.00	μB/atom
total energy	-3.43	eV/atom

a b c (Å): 3.578 5.154 7.157
angles (deg): 103.52 75.52 69.69
Atoms (fractional coordinates):
Ag 0.661 0.007 0.670
Ag 0.174 0.489 0.164
Ag 0.339 0.993 0.330
Ag 0.826 0.511 0.836
Mg 0.000 0.000 0.000
Sc 0.500 0.500 0.500

---

Record 10
Compound: ThScPa2
Source: Alexandria via LeMat-Bulk
Functional: PBE-GGA
Structure: optimized geometry

formation energy from the elements	0.10	eV/atom
magnetic moment	0.00	μB/atom
total energy	-8.08	eV/atom

a b c (Å): 3.314 3.314 11.245
angles (deg): 81.53 81.53 60.00
Atoms (fractional coordinates):
Pa 0.086 0.086 0.742
Pa 0.248 0.248 0.257
Sc 0.500 0.500 0.501
Th 0.667 0.667 0.999

---

Record 11
Compound: TbSbAs
Source: Alexandria via LeMat-Bulk
Functional: PBE-GGA
Structure: optimized geometry

uncorrected formation energy	-764	meV per atom
magnetic moment	0.00	μB/atom
total energy	-5.23	eV/atom

a b c (Å): 4.387 4.387 8.157
angles (deg): 90.00 90.00 92.90
Atoms (fractional coordinates):
As 0.250 0.250 0.684
As 0.750 0.750 0.316
Sb 0.500 0.000 0.000
Sb 0.000 0.500 0.000
Tb 0.250 0.250 0.332
Tb 0.750 0.750 0.668

---

Record 12
Compound: TbCoIr
Source: Alexandria via LeMat-Bulk
Functional: PBE-GGA
Structure: optimized geometry

formation energy from the elements	-0.44	eV/atom
magnetic moment	0.41	μB/atom
total energy	-7.31	eV/atom

a b c (Å): 4.012 4.066 4.066
angles (deg): 120.00 90.00 90.00
Each line ends with the local moment (μB).
Atoms (fractional coordinates):
Ir 0.167 0.333 0.667  0.30
Tb 0.667 0.667 0.333  -0.09
Co 0.167 0.000 0.000  1.02

---

Record 13
Compound: Ac6Tl5Ge
Source: Alexandria via LeMat-Bulk
Functional: PBE-GGA
Structure: optimized geometry

formation energy from the elements	-0.39	eV/atom
magnetic moment	0.00	μB/atom
total energy	-3.81	eV/atom

a b c (Å): 5.775 8.181 10.048
angles (deg): 114.02 106.71 90.01
Atoms (fractional coordinates):
Tl 0.000 0.500 0.000
Tl 0.664 0.664 0.327
Tl 0.680 0.180 0.360
Tl 0.320 0.820 0.640
Tl 0.336 0.336 0.673
Ac 0.500 0.767 0.000
Ac 0.159 0.398 0.318
Ac 0.841 0.602 0.682
Ac 0.500 0.233 0.000
Ac 0.159 0.920 0.318
Ac 0.841 0.080 0.682
Ge 0.000 0.000 0.000

---

Record 14
Compound: BaMoCl2
Source: Alexandria via LeMat-Bulk
Functional: PBE-GGA
Structure: optimized geometry

uncorrected formation energy	-366	meV per atom
magnetic moment	1.00	μB/atom
total energy	-4.48	eV/atom

a b c (Å): 5.377 5.377 9.334
angles (deg): 73.26 73.26 90.00
Each line ends with the local moment (μB).
Atoms (fractional coordinates):
Ba 0.750 0.250 0.500  0.03
Ba 0.000 0.000 0.000  0.03
Cl 0.875 0.796 0.750  0.02
Cl 0.204 0.625 0.250  0.03
Cl 0.375 0.454 0.750  0.03
Cl 0.546 0.125 0.250  0.03
Mo 0.500 0.500 0.000  3.04
Mo 0.250 0.750 0.500  3.04

---

Record 15
Compound: MoP3Pb
Source: Alexandria via LeMat-Bulk
Functional: PBE-GGA
Structure: optimized geometry

formation energy from the elements	2.18	eV/atom
magnetic moment	0.00	μB/atom
total energy	-3.98	eV/atom

a b c (Å): 4.990 4.990 4.990
angles (deg): 90.00 90.00 90.00
Atoms (fractional coordinates):
P 0.000 0.000 0.500
P 0.500 0.000 0.000
P 0.000 0.500 0.000
Mo 0.500 0.500 0.500
Pb 0.000 0.000 0.000

---

Record 16
Compound: RbHg
Source: Alexandria via LeMat-Bulk
Functional: PBE-GGA
Structure: optimized geometry

formation energy from the elements	-0.12	eV/atom
magnetic moment	0.00	μB/atom
total energy	-0.75	eV/atom

a b c (Å): 5.252 5.252 5.252
angles (deg): 60.00 60.00 60.00
Atoms (fractional coordinates):
Rb 0.000 0.000 0.000
Hg 0.500 0.500 0.500

---

Record 17
Compound: LiYTc
Source: Alexandria via LeMat-Bulk
Functional: PBE-GGA
Structure: optimized geometry

formation energy from the elements	0.33	eV/atom
magnetic moment	0.00	μB/atom
total energy	-5.92	eV/atom

a b c (Å): 5.247 5.247 5.247
angles (deg): 141.55 141.55 55.51
Atoms (fractional coordinates):
Li 0.978 0.978 0.000
Tc 0.350 0.350 0.000
Y 0.673 0.673 0.000

---

Record 18
Compound: Zn2Ag8Au3
Source: Alexandria via LeMat-Bulk
Functional: PBE-GGA
Structure: optimized geometry

formation energy from the elements	0.16	eV/atom
magnetic moment	0.00	μB/atom
total energy	-2.55	eV/atom

a b c (Å): 5.431 5.431 10.303
angles (deg): 74.72 74.72 60.00
Atoms (fractional coordinates):
Ag 0.230 0.730 0.309
Ag 0.730 0.730 0.309
Ag 0.270 0.770 0.691
Ag 0.278 0.278 0.167
Ag 0.722 0.722 0.833
Ag 0.770 0.270 0.691
Ag 0.270 0.270 0.691
Ag 0.730 0.230 0.309
Zn 0.637 0.637 0.089
Zn 0.363 0.363 0.911
Au 0.184 0.184 0.449
Au 0.000 0.000 0.000
Au 0.816 0.816 0.551

---

Record 19
Compound: BaAs2Pd2
Source: Alexandria via LeMat-Bulk
Functional: PBE-GGA
Structure: optimized geometry

formation energy from the elements	-0.35	eV/atom
magnetic moment	0.00	μB/atom
total energy	-4.67	eV/atom

a b c (Å): 8.093 8.093 3.204
angles (deg): 90.00 90.00 90.00
Atoms (fractional coordinates):
Pd 0.122 0.378 0.000
Pd 0.622 0.122 0.000
Pd 0.878 0.622 0.000
Pd 0.378 0.878 0.000
As 0.847 0.347 0.500
As 0.347 0.153 0.500
As 0.653 0.847 0.500
As 0.153 0.653 0.500
Ba 0.000 0.000 0.000
Ba 0.500 0.500 0.000

---

Record 20
Compound: ZnAs2Br
Source: Alexandria via LeMat-Bulk
Functional: PBE-GGA
Structure: optimized geometry

uncorrected formation energy	383	meV per atom
magnetic moment	0.00	μB/atom
total energy	-2.68	eV/atom

a b c (Å): 4.861 4.861 4.861
angles (deg): 119.93 119.93 90.12
Atoms (fractional coordinates):
As 0.250 0.750 0.500
As 0.000 0.000 0.000
Zn 0.750 0.250 0.500
Br 0.500 0.500 0.000